i.
DFT (PBE) results for a relaxed BaRuBr crystal.

```
data_BaRuBr
_chemical_formula_sum 'Ba4 Ru4 Br4'
_cell_length_a 7.7452
_cell_length_b 7.7452
_cell_length_c 7.7452
_cell_angle_alpha 90.00
_cell_angle_beta 90.00
_cell_angle_gamma 90.00
_space_group_name_H-M_alt 'F -4 3 m'
_space_group_IT_number 216
_space_group_name_Hall 'F -4 2 3'
loop_
_atom_site_label
_atom_site_fract_x
_atom_site_fract_y
_atom_site_fract_z
Ba1 0.0000 0.0000 0.0000
Ru1 0.2500 0.2500 0.7500
Br1 0.2500 0.2500 0.2500
```

## Properties
Density: 4.55 g/cm³
Density of states at the Fermi level: 2.706 states/eV per atom

=====

ii.
DFT (PBE) results for a relaxed BaRuBr crystal.

```
data_BaRuBr
_chemical_formula_sum 'Ba1 Ru1 Br1'
_cell_length_a 4.4230
_cell_length_b 4.4230
_cell_length_c 4.6427
_cell_angle_alpha 90.00
_cell_angle_beta 90.00
_cell_angle_gamma 120.00
_space_group_name_H-M_alt 'P -6 m 2'
_space_group_IT_number 187
_space_group_name_Hall 'P -6 2'
loop_
_atom_site_label
_atom_site_fract_x
_atom_site_fract_y
_atom_site_fract_z
Ba1 0.0000 0.0000 0.0000
Ru1 0.3333 0.6667 0.5000
Br1 0.6667 0.3333 0.5000
```

## Properties
Density: 6.72 g/cm³
Density of states at the Fermi level: 1.247 states/eV per atom

=====

iii.
DFT (PBE) results for a relaxed BaRuBr crystal.

```
data_BaRuBr
_chemical_formula_sum 'Ba2 Ru2 Br2'
_cell_length_a 4.0255
_cell_length_b 4.6175
_cell_length_c 10.4555
_cell_angle_alpha 90.00
_cell_angle_beta 90.00
_cell_angle_gamma 90.00
_space_group_name_H-M_alt 'I m m 2'
_space_group_IT_number 44
loop_
_space_group_symop_operation_xyz
'x,y,z'
'-x,-y,z'
'-x,y,z'
'x,-y,z'
'x+1/2,y+1/2,z+1/2'
'-x+1/2,-y+1/2,z+1/2'
'-x+1/2,y+1/2,z+1/2'
'x+1/2,-y+1/2,z+1/2'
loop_
_atom_site_label
_atom_site_fract_x
_atom_site_fract_y
_atom_site_fract_z
Ba1 0.0000 0.0000 0.0000
Ru1 0.0000 0.0000 0.4468
Br1 0.0000 0.0000 0.6823
```

## Properties
Density: 5.44 g/cm³
Density of states at the Fermi level: 1.275 states/eV per atom

=====

Which one sits at the top of the stability order? ii does.

=====

i.
DFT (PBE) results for a relaxed BaRuBr crystal.

```
data_BaRuBr
_chemical_formula_sum 'Ba4 Ru4 Br4'
_cell_length_a 4.7144
_cell_length_b 6.3098
_cell_length_c 11.2237
_cell_angle_alpha 90.00
_cell_angle_beta 90.00
_cell_angle_gamma 90.00
_space_group_name_H-M_alt 'F m m 2'
_space_group_IT_number 42
_space_group_name_Hall 'F 2 -2'
loop_
_atom_site_label
_atom_site_fract_x
_atom_site_fract_y
_atom_site_fract_z
Ba1 0.0000 0.0000 0.0000
Ru1 0.0000 0.0000 0.3097
Br1 0.0000 0.0000 0.7192
```

## Properties
Density: 6.33 g/cm³
Density of states at the Fermi level: 0.738 states/eV per atom

=====

ii.
DFT (PBE) results for a relaxed BaRuBr crystal.

```
data_BaRuBr
_chemical_formula_sum 'Ba4 Ru4 Br4'
_cell_length_a 6.8942
_cell_length_b 6.8942
_cell_length_c 6.8942
_cell_angle_alpha 90.00
_cell_angle_beta 90.00
_cell_angle_gamma 90.00
_space_group_name_H-M_alt 'F -4 3 m'
_space_group_IT_number 216
_space_group_name_Hall 'F -4 2 3'
loop_
_atom_site_label
_atom_site_fract_x
_atom_site_fract_y
_atom_site_fract_z
Ba1 0.0000 0.0000 0.0000
Ru1 0.2500 0.2500 0.2500
Br1 0.0000 0.0000 0.5000
```

## Properties
Density: 6.45 g/cm³
Density of states at the Fermi level: 1.197 states/eV per atom

=====

Which one sits at the top of the stability order? i does.

=====

i.
DFT (PBE) results for a relaxed BaRuSeBr2 crystal.

```
data_BaRuSeBr2
_chemical_formula_sum 'Ba1 Ru1 Se1 Br2'
_cell_length_a 6.1180
_cell_length_b 6.1180
_cell_length_c 6.2238
_cell_angle_alpha 90.00
_cell_angle_beta 90.00
_cell_angle_gamma 90.00
_space_group_name_H-M_alt 'P 4/m m m'
_space_group_IT_number 123
_space_group_name_Hall '-P 4 2'
loop_
_atom_site_label
_atom_site_fract_x
_atom_site_fract_y
_atom_site_fract_z
Ba1 0.0000 0.0000 0.0000
Ru1 0.5000 0.5000 0.5000
Se1 0.0000 0.0000 0.5000
Br1 0.0000 0.5000 0.0000
```

## Properties
Density: 3.40 g/cm³
Density of states at the Fermi level: 3.237 states/eV per atom

=====

ii.
DFT (PBE) results for a relaxed BaRuSeBr2 crystal.

```
data_BaRuSeBr2
_chemical_formula_sum 'Ba1 Ru1 Se1 Br2'
_cell_length_a 5.2604
_cell_length_b 5.2604
_cell_length_c 4.8927
_cell_angle_alpha 90.00
_cell_angle_beta 90.00
_cell_angle_gamma 90.00
_space_group_name_H-M_alt 'P 4/m m m'
_space_group_IT_number 123
_space_group_name_Hall '-P 4 2'
loop_
_atom_site_label
_atom_site_fract_x
_atom_site_fract_y
_atom_site_fract_z
Ba1 0.0000 0.0000 0.0000
Ru1 0.5000 0.5000 0.5000
Se1 0.5000 0.5000 0.0000
Br1 0.0000 0.5000 0.5000
```

## Properties
Density: 5.85 g/cm³
Density of states at the Fermi level: 0.796 states/eV per atom

=====

Which one sits at the top of the stability order? ii does.

=====

i.
DFT (PBE) results for a relaxed BaS2Br crystal.

```
data_BaS2Br
_chemical_formula_sum 'Ba3 S6 Br3'
_cell_length_a 5.1275
_cell_length_b 5.1275
_cell_length_c 14.5512
_cell_angle_alpha 90.00
_cell_angle_beta 90.00
_cell_angle_gamma 120.00
_space_group_name_H-M_alt 'R -3 m'
_space_group_IT_number 166
_space_group_name_Hall '-R 3 2"'
loop_
_atom_site_label
_atom_site_fract_x
_atom_site_fract_y
_atom_site_fract_z
Ba1 0.0000 0.0000 0.0000
S1 0.0000 0.0000 0.2103
Br1 0.0000 0.0000 0.5000
```

## Properties
Density: 4.23 g/cm³
Density of states at the Fermi level: 0.997 states/eV per atom

=====

ii.
DFT (PBE) results for a relaxed BaS2Br crystal.

```
data_BaS2Br
_chemical_formula_sum 'Ba4 S8 Br4'
_cell_length_a 9.4331
_cell_length_b 14.5041
_cell_length_c 4.9623
_cell_angle_alpha 90.00
_cell_angle_beta 90.00
_cell_angle_gamma 90.00
_space_group_name_H-M_alt 'C 2 2 21'
_space_group_IT_number 20
loop_
_space_group_symop_operation_xyz
'x,y,z'
'-x,-y,z+1/2'
'x,-y,-z'
'-x,y,-z+1/2'
'x+1/2,y+1/2,z'
'-x+1/2,-y+1/2,z+1/2'
'x+1/2,-y+1/2,-z'
'-x+1/2,y+1/2,-z+1/2'
loop_
_atom_site_label
_atom_site_fract_x
_atom_site_fract_y
_atom_site_fract_z
Ba1 0.2400 0.0000 0.0000
S1 0.0357 0.4025 0.9415
Br1 0.0000 0.1246 0.2500
```

## Properties
Density: 2.75 g/cm³
Density of states at the Fermi level: 0.070 states/eV per atom

=====

Which one sits at the top of the stability order? ii does.